[1]
Entry from Alexandria: an optimized crystal structure of CsTbMnSe3 (GGA-PBE).

Results
polymorph energy (0 for the lowest one) = 2.94 kJ/mol of atoms
E = -5.501 eV/atom

a b c (Å): 9.692 4.279 10.348
angles (deg): 90.00 111.33 90.00
Element x y z (fractional)
1 Cs 0.217 0.250 0.243
2 Cs 0.783 0.750 0.757
3 Tb 0.333 0.750 0.863
4 Tb 0.667 0.250 0.137
5 Mn 0.086 0.250 0.611
6 Mn 0.914 0.750 0.389
7 Se 0.124 0.250 0.860
8 Se 0.196 0.750 0.546
9 Se 0.476 0.750 0.155
10 Se 0.524 0.250 0.845
11 Se 0.804 0.250 0.454
12 Se 0.876 0.750 0.140


[2]
Entry from Alexandria: an optimized crystal structure of Cs2TbMn2Se4 (GGA-PBE).

Results
E = -5.388 eV/atom

a b c (Å): 8.134 8.134 8.491
angles (deg): 107.52 107.52 30.43
Element x y z (fractional)
1 Cs 0.134 0.134 0.053
2 Cs 0.866 0.866 0.947
3 Tb 0.000 0.000 0.500
4 Mn 0.321 0.321 0.517
5 Mn 0.679 0.679 0.483
6 Se 0.196 0.196 0.659
7 Se 0.478 0.478 0.720
8 Se 0.522 0.522 0.280
9 Se 0.804 0.804 0.341


It is found that the uncorrected formation energy values, taken in the order of the records, are -1.32, -1.10 eV/atom.